{"formula": "Bi2SeCl2O", "functional": "PBE", "state": "relaxed", "spacegroup": "No. 26", "e_form_raw_ev_per_atom": -0.89, "lattice": [[-2.9082, -1.8290, 2.0055], [5.1093, -1.6193, 5.9320], [-2.5733, 9.3083, 4.7574]], "species": ["Bi", "Bi", "Bi", "Bi", "Se", "Se", "Cl", "Cl", "Cl", "Cl", "O", "O"], "frac_coords": [[0.0000, 0.2339, 0.7513], [0.5000, 0.3860, 0.4171], [0.0000, 0.7339, 0.2487], [0.5000, 0.8860, 0.5829], [0.0000, 0.0039, 0.4183], [0.0000, 0.5039, 0.5817], [0.5000, 0.9015, 0.1133], [0.0000, 0.3730, 0.2182], [0.5000, 0.4015, 0.8867], [0.0000, 0.8730, 0.7818], [0.5000, 0.1473, 0.6442], [0.5000, 0.6473, 0.3558]]}

{"formula": "La3Co5S12", "functional": "PBE", "state": "relaxed", "spacegroup": "No. 230", "e_form_raw_ev_per_atom": -0.89, "lattice": [[-9.9277, 0.0990, 7.9773], [-3.9783, -3.1176, -11.6902], [8.5654, -8.5404, 3.9878]], "species": ["La", "La", "La", "La", "La", "La", "La", "La", "La", "La", "La", "La", "Co", "Co", "Co", "Co", "Co", "Co", "Co", "Co", "Co", "Co", "Co", "Co", "Co", "Co", "Co", "Co", "Co", "Co", "Co", "Co", "S", "S", "S", "S", "S", "S", "S", "S", "S", "S", "S", "S", "S", "S", "S", "S", "S", "S", "S", "S", "S", "S", "S", "S", "S", "S", "S", "S", "S", "S", "S", "S", "S", "S", "S", "S", "S", "S", "S", "S", "S", "S", "S", "S", "S", "S", "S", "S"], "frac_coords": [[0.7500, 0.3750, 0.1250], [0.8750, 0.7500, 0.1250], [0.3750, 0.7500, 0.6250], [0.2500, 0.1250, 0.3750], [0.8750, 0.1250, 0.2500], [0.3750, 0.6250, 0.2500], [0.6250, 0.3750, 0.7500], [0.1250, 0.8750, 0.7500], [0.7500, 0.8750, 0.6250], [0.6250, 0.2500, 0.3750], [0.1250, 0.2500, 0.8750], [0.2500, 0.6250, 0.8750], [0.1250, 0.3750, 0.2500], [0.0000, 0.5000, 0.0000], [0.0000, 0.0000, 0.0000], [0.3750, 0.2500, 0.1250], [0.5000, 0.0000, 0.5000], [0.5000, 0.5000, 0.0000], [0.1250, 0.7500, 0.3750], [0.7500, 0.1250, 0.8750], [0.7500, 0.6250, 0.3750], [0.3750, 0.1250, 0.7500], [0.6250, 0.8750, 0.2500], [0.5000, 0.5000, 0.5000], [0.5000, 0.0000, 0.0000], [0.0000, 0.0000, 0.5000], [0.2500, 0.3750, 0.6250], [0.2500, 0.8750, 0.1250], [0.0000, 0.5000, 0.5000], [0.8750, 0.2500, 0.6250], [0.6250, 0.7500, 0.8750], [0.8750, 0.6250, 0.7500], [0.6959, 0.1084, 0.0166], [0.3207, 0.5166, 0.4081], [0.9834, 0.3916, 0.3041], [0.5166, 0.1959, 0.1084], [0.5875, 0.6959, 0.6793], [0.9834, 0.5919, 0.1793], [0.3207, 0.8041, 0.4125], [0.0919, 0.9125, 0.1084], [0.5919, 0.9834, 0.6793], [0.6959, 0.5875, 0.1793], [0.8041, 0.4834, 0.3916], [0.8207, 0.9081, 0.0166], [0.1084, 0.6959, 0.5166], [0.3916, 0.4081, 0.0875], [0.0875, 0.9081, 0.3916], [0.4125, 0.1084, 0.5919], [0.0875, 0.1793, 0.1959], [0.4834, 0.6793, 0.0919], [0.8207, 0.9125, 0.3041], [0.1084, 0.4125, 0.0919], [0.3916, 0.9834, 0.8041], [0.5919, 0.6084, 0.4125], [0.9081, 0.8207, 0.5166], [0.8041, 0.3207, 0.9125], [0.4081, 0.3916, 0.5875], [0.0919, 0.1793, 0.4834], [0.1959, 0.6793, 0.0875], [0.1793, 0.0875, 0.6959], [0.6084, 0.0166, 0.1959], [0.8916, 0.5875, 0.9081], [0.5166, 0.3207, 0.9081], [0.5875, 0.8916, 0.4081], [0.9125, 0.8207, 0.8041], [0.9125, 0.0919, 0.6084], [0.8916, 0.3041, 0.4834], [0.1793, 0.0919, 0.9834], [0.6084, 0.5919, 0.9125], [0.4081, 0.0166, 0.3207], [0.3041, 0.4125, 0.8207], [0.1959, 0.5166, 0.6084], [0.9081, 0.0875, 0.8916], [0.6793, 0.1959, 0.5875], [0.4834, 0.8041, 0.8916], [0.0166, 0.4081, 0.8207], [0.4125, 0.3041, 0.3207], [0.0166, 0.6084, 0.6959], [0.6793, 0.4834, 0.5919], [0.3041, 0.8916, 0.9834]]}

{"formula": "Er2ZrS5", "functional": "PBE", "state": "relaxed", "spacegroup": "No. 63", "e_form_raw_ev_per_atom": -1.82, "lattice": [[-2.9824, -3.0698, 2.9351], [5.9489, 1.7193, 3.2548], [-5.6798, 10.2609, 4.9608]], "species": ["Er", "Er", "Er", "Er", "Zr", "Zr", "S", "S", "S", "S", "S", "S", "S", "S", "S", "S"], "frac_coords": [[0.8542, 0.7085, 0.4403], [0.8542, 0.7085, 0.0597], [0.1458, 0.2915, 0.5597], [0.1458, 0.2915, 0.9403], [0.8064, 0.6128, 0.7500], [0.1936, 0.3872, 0.2500], [0.9516, 0.9032, 0.8770], [0.9516, 0.9032, 0.6230], [0.3109, 0.6218, 0.4205], [0.3109, 0.6218, 0.0795], [0.7430, 0.4860, 0.2500], [0.2570, 0.5140, 0.7500], [0.6891, 0.3782, 0.5795], [0.6891, 0.3782, 0.9205], [0.0484, 0.0968, 0.1230], [0.0484, 0.0968, 0.3770]]}

{"formula": "Ho3ReO7", "functional": "PBE", "state": "relaxed", "spacegroup": "No. 20", "e_form_raw_ev_per_atom": -2.93, "lattice": [[-5.3961, -2.5576, 2.4447], [-0.2172, -0.4806, -6.4310], [3.3022, -6.6020, 0.3818]], "species": ["Ho", "Ho", "Ho", "Ho", "Ho", "Ho", "Re", "Re", "O", "O", "O", "O", "O", "O", "O", "O", "O", "O", "O", "O", "O", "O"], "frac_coords": [[0.4649, 0.4649, 0.0000], [0.4653, 0.9996, 0.2565], [0.5347, 0.0004, 0.7565], [0.0004, 0.5347, 0.2435], [0.5351, 0.5351, 0.5000], [0.9996, 0.4653, 0.7435], [0.9990, 0.9990, 0.0000], [0.0010, 0.0010, 0.5000], [0.0533, 0.3098, 0.4622], [0.0725, 0.9275, 0.2500], [0.6305, 0.3695, 0.2500], [0.3098, 0.0533, 0.5378], [0.9177, 0.6729, 0.5244], [0.9275, 0.0725, 0.7500], [0.6729, 0.9177, 0.4756], [0.3622, 0.6378, 0.2500], [0.6902, 0.9467, 0.0378], [0.6378, 0.3622, 0.7500], [0.0823, 0.3271, 0.0244], [0.9467, 0.6902, 0.9622], [0.3695, 0.6305, 0.7500], [0.3271, 0.0823, 0.9756]]}

{"formula": "NdHo5Ir6", "functional": "PBE", "state": "relaxed", "formation_enthalpy_0k_ev_per_atom": -0.79, "spacegroup": "No. 65", "lattice": [[4.6832, -0.0278, 1.5607], [0.0356, 6.6506, 0.0118], [-0.0004, -0.0139, 7.8079]], "species": ["Ir", "Ir", "Ir", "Ir", "Ir", "Ir", "Nd", "Ho", "Ho", "Ho", "Ho", "Ho"], "frac_coords": [[0.8305, 0.7473, 0.3390], [0.8305, 0.2527, 0.3390], [0.5000, 0.2569, 0.0000], [0.5000, 0.7431, 0.0000], [0.1695, 0.7473, 0.6610], [0.1695, 0.2527, 0.6610], [0.0000, 0.0000, 0.0000], [0.6667, 0.5000, 0.6665], [0.3324, 0.0000, 0.3351], [0.0000, 0.5000, 0.0000], [0.6676, 0.0000, 0.6649], [0.3333, 0.5000, 0.3335]]}

{"formula": "LaDy2Y6Tm3", "functional": "PBE", "state": "relaxed", "formation_enthalpy_0k_ev_per_atom": 0.03, "spacegroup": "No. 12", "lattice": [[-4.8652, -1.8121, 3.3310], [5.3168, 1.3751, 2.8089], [-3.5614, 11.2137, -1.0028]], "species": ["La", "Dy", "Dy", "Y", "Y", "Y", "Y", "Y", "Y", "Tm", "Tm", "Tm"], "frac_coords": [[0.0000, 0.0000, 0.0000], [0.3334, 0.6666, 0.0000], [0.6666, 0.3334, 0.0000], [0.9148, 0.5803, 0.7461], [0.7505, 0.7505, 0.2539], [0.0852, 0.4197, 0.2539], [0.5803, 0.9148, 0.7461], [0.2495, 0.2495, 0.7461], [0.4197, 0.0852, 0.2539], [0.1670, 0.8330, 0.5000], [0.8330, 0.1670, 0.5000], [0.5000, 0.5000, 0.5000]]}

| no. | VASP energy (eV per atom) | calculated volume (Å³/f.u.) |
| --- | --- | --- |
| 1 | -4.20 | 171.2 |
| 2 | -5.89 | 397.6 |
| 3 | -6.60 | 214.7 |
| 4 | -8.47 | 145.8 |
| 5 | -7.52 | 243.2 |
| 6 | -5.50 | 383.3 |